A geometry-optimized FeHgO2F structure. Source: the Alexandria database, functional GGA+U.

```
FeHgO2F
1.0
4.187 0.000 0.000
0.000 4.187 0.000
0.000 0.000 4.453
Hg Fe O F
1 1 2 1
direct
0.000 0.000 0.000 Hg
0.500 0.500 0.500 Fe
0.500 0.000 0.000 O
0.000 0.500 0.000 O
0.000 0.000 0.500 F
```

---

A geometry-optimized FeHgO2F5 structure. Source: the Alexandria database, functional GGA+U.

```
FeHgO2F5
1.0
-3.173 0.615 2.162
2.999 -3.718 5.462
3.669 7.666 3.204
F Fe O Hg
10 2 4 2
direct
0.000 0.000 0.500 F
0.500 0.768 0.998 F
0.500 0.506 0.218 F
0.500 0.006 0.282 F
0.500 0.268 0.502 F
0.000 0.500 0.000 F
0.500 0.494 0.782 F
0.500 0.232 0.002 F
0.500 0.994 0.718 F
0.500 0.732 0.498 F
0.500 0.500 0.000 Fe
0.500 0.000 0.500 Fe
0.000 0.633 0.709 O
0.000 0.367 0.291 O
0.000 0.867 0.209 O
0.000 0.133 0.791 O
0.000 0.000 0.000 Hg
0.000 0.500 0.500 Hg
```

---

A geometry-optimized Fe2HgPbF structure. Source: the Alexandria database, functional GGA+U.

```
Fe2HgPbF
1.0
-3.537 0.671 -3.729
1.173 -4.151 -1.859
-3.561 -2.331 2.959
Fe Pb F Hg
2 1 1 1
direct
0.000 0.000 0.500 Fe
0.500 0.000 0.000 Fe
0.500 0.500 0.500 Pb
0.000 0.500 0.000 F
0.000 0.000 0.000 Hg
```

---

| no. | DOS(E_F) (states/eV per cell) | calculated volume (Å³ per cell) | energy (eV/cell) |
| --- | --- | --- | --- |
| 1 | 1.586 | 78 | -18.0 |
| 2 | 1.968 | 256 | -67.7 |
| 3 | 3.434 | 126 | -14.8 |